PrNdZnFe after structural relaxation, computed with PBE-GGA.

Structure (POSCAR):
```
PrNdZnFe
1.0
7.2360 0.0000 0.0000
0.0000 7.2360 0.0000
0.0000 0.0000 7.2360
Pr Nd Zn Fe
4 4 4 4
Direct
0.0000 0.0000 0.0000
0.0000 0.5000 0.5000
0.5000 0.0000 0.5000
0.5000 0.5000 0.0000
0.0000 0.0000 0.5000
0.0000 0.5000 0.0000
0.5000 0.0000 0.0000
0.5000 0.5000 0.5000
0.2500 0.2500 0.7500
0.2500 0.7500 0.2500
0.7500 0.2500 0.2500
0.7500 0.7500 0.7500
0.2500 0.2500 0.2500
0.2500 0.7500 0.7500
0.7500 0.2500 0.7500
0.7500 0.7500 0.2500
```

Results
E_form in eV per atom: 0.03
Space group: F-43m (216)

---

Zn2CoCl after structural relaxation, computed with PBE-GGA.

Structure (POSCAR):
```
Zn2CoCl
1.0
2.9392 0.0000 0.0000
0.0000 5.4438 0.0000
0.0000 0.0000 8.2677
Zn Co Cl
4 2 2
Direct
0.0000 0.0000 0.0000
0.0000 0.5000 0.2601
0.5000 0.0000 0.2601
0.5000 0.5000 0.0000
0.0000 0.5000 0.7621
0.5000 0.0000 0.7621
0.0000 0.0000 0.5510
0.5000 0.5000 0.5510
```

Results
ΔE to the lowest computed polymorph in meV/atom: 241
Space group: Cmm2 (35)

---

ReTc after structural relaxation, computed with PBE-GGA.

Structure (POSCAR):
```
ReTc
1.0
5.1216 0.0000 0.0000
0.0000 5.1216 0.0000
0.0000 0.0000 5.1216
Re Tc
4 4
Direct
0.0000 0.0000 0.0000
0.0000 0.5000 0.5000
0.5000 0.0000 0.5000
0.5000 0.5000 0.0000
0.0000 0.0000 0.5000
0.0000 0.5000 0.0000
0.5000 0.0000 0.0000
0.5000 0.5000 0.5000
```

Results
ΔE to the lowest computed polymorph in meV/atom: 1233
E_form in eV per atom: 1.23
Space group: Fm-3m (225)

---

no.,ρ (kg/m3)
1,7125
2,5654
3,14052